Below is an optimized crystal structure of CaDy6Ho8, with properties calculated at the PBE level.

extended XYZ file:
```
15
Lattice="-0.4537 -2.3841 7.7529 3.6294 -7.2452 0.5758 7.3002 1.1519 3.3729" Properties=species:S:1:pos:R:3 pbc="T T T"
Ca 0.0000 0.0000 0.0000
Dy 6.0162 -2.8817 3.6957
Dy 6.9204 -6.2380 5.3375
Dy 7.1524 -3.1633 7.3574
Dy 3.3235 -5.3141 4.3442
Dy 3.5555 -2.2394 6.3641
Dy 4.4597 -5.5957 8.0058
Ho 9.1393 -3.7497 4.6013
Ho 5.8619 -5.9621 2.1546
Ho 6.3345 -0.2614 5.8615
Ho 7.9601 -6.4415 8.8914
Ho 2.5158 -2.0359 2.8102
Ho 4.1414 -8.2160 5.8401
Ho 4.6140 -2.5153 9.5470
Ho 1.3366 -4.7277 7.1002
```

Values from the calculation:
Fermi-level density of states (states/eV/f.u.): 20.49
DFT total energy (eV per formula unit): -63.18
Symmetry: R-3, No. 148



Below is an optimized crystal structure of Ce2TmPuN4, with properties calculated at the PBE level.

extended XYZ file:
```
8
Lattice="3.5089 0.0000 0.0000 0.0000 6.0536 0.1010 0.0000 -2.1208 5.6996" Properties=species:S:1:pos:R:3 pbc="T T T"
Ce 1.7544 -1.0604 2.8498
Ce 0.0000 1.9664 2.9003
Tm 1.7544 3.0268 0.0505
Pu 0.0000 0.0000 0.0000
N 1.7544 0.9893 1.3744
N 1.7544 2.9436 4.4261
N 0.0000 -0.0747 4.3534
N 0.0000 4.0075 1.4472
```

Values from the calculation:
Fermi-level density of states (states/eV/f.u.): 8.54
E_form (uncorrected) (eV/atom): -1.500
DFT total energy (eV per formula unit): -75.97
Symmetry: P2/m, No. 10



Below is an optimized crystal structure of GaP2CCl, with properties calculated at the PBE level.

extended XYZ file:
```
5
Lattice="4.7756 0.0000 0.0000 0.0000 4.7756 0.0000 0.0000 0.0000 4.7276" Properties=species:S:1:pos:R:3 pbc="T T T"
P 0.0000 2.3878 0.0000
P 2.3878 0.0000 0.0000
C 2.3878 2.3878 2.3638
Ga 0.0000 0.0000 0.0000
Cl 0.0000 0.0000 2.3638
```

Values from the calculation:
Fermi-level density of states (states/eV/f.u.): 4.48
E_form (uncorrected) (eV/atom): 1.895
DFT total energy (eV per formula unit): -15.44
Symmetry: P4/mmm, No. 123



Below is an optimized crystal structure of ScTePtO6, with properties calculated at the PBE level.

extended XYZ file:
```
18
Lattice="5.3218 0.0000 0.0000 -2.6609 4.6088 0.0000 0.0000 0.0000 8.7725" Properties=species:S:1:pos:R:3 pbc="T T T"
Sc 0.0000 3.0725 2.1931
Sc 2.6609 1.5363 6.5794
Te 2.6609 1.5363 2.1931
Te 0.0000 3.0725 6.5794
Pt 0.0000 0.0000 0.0000
Pt 0.0000 0.0000 4.3863
O 1.8238 3.0022 1.1236
O 4.3490 1.5282 1.1236
O -0.8510 4.5305 5.5099
O -1.6881 3.0806 7.6489
O 0.9728 1.5282 3.2626
O 3.4980 3.0022 3.2626
O 0.8510 4.5305 7.6489
O 3.5119 0.0783 3.2626
O -0.8371 1.6066 5.5099
O 1.8099 0.0783 1.1236
O 1.6881 3.0806 5.5099
O 0.8371 1.6066 7.6489
```

Values from the calculation:
Fermi-level density of states (states/eV/f.u.): 4.48
E_form (uncorrected) (eV/atom): -1.339
DFT total energy (eV per formula unit): -57.32
Symmetry: P-31c, No. 163



Below is an optimized crystal structure of Cd2SbBr, with properties calculated at the PBE level.

extended XYZ file:
```
4
Lattice="-3.3418 -4.0538 0.5427 -4.3730 -0.2310 -2.9527 -0.4126 -3.6133 -3.8300" Properties=species:S:1:pos:R:3 pbc="T T T"
Sb -4.0637 -3.9490 -3.1200
Br 0.0000 0.0000 0.0000
Cd -2.0318 -1.9745 -1.5600
Cd -6.0955 -5.9235 -4.6800
```

Values from the calculation:
Fermi-level density of states (states/eV/f.u.): 0.97
E_form (uncorrected) (eV/atom): 0.026
DFT total energy (eV per formula unit): -7.52
Symmetry: Fm-3m, No. 225



Below is an optimized crystal structure of Mg5AgAu, with properties calculated at the PBE level.

extended XYZ file:
```
14
Lattice="7.3089 0.1995 0.1515 2.5080 6.8681 0.1515 3.6989 2.6630 8.1667" Properties=species:S:1:pos:R:3 pbc="T T T"
Mg 7.9938 5.5305 1.3955
Mg 5.5497 5.8517 3.9567
Mg 9.6303 7.1578 5.4788
Mg 7.6419 1.6872 2.1932
Mg 4.3563 4.9925 0.4297
Mg 9.1595 4.7380 8.0401
Mg 5.8740 8.0433 6.2766
Mg 3.8856 2.5727 2.9909
Mg 7.9661 3.8789 4.5131
Mg 5.5220 4.2001 7.0743
Ag 6.0755 3.8630 2.1932
Ag 7.4404 5.8675 6.2766
Au 0.0000 0.0000 0.0000
Au 1.8495 1.3315 4.0834
```

Values from the calculation:
Fermi-level density of states (states/eV/f.u.): 2.20
DFT total energy (eV per formula unit): -14.13
Symmetry: C2/c, No. 15



Below is an optimized crystal structure of Gd2SnSe, with properties calculated at the PBE level.

extended XYZ file:
```
4
Lattice="-0.8962 -3.1259 -1.3757 0.8385 -1.5801 3.0441 -7.5487 1.0169 2.6071" Properties=species:S:1:pos:R:3 pbc="T T T"
Gd -5.8177 0.7837 2.0093
Gd -1.7309 0.2332 0.5978
Sn -3.8032 -1.8445 2.1378
Se -0.0289 -2.3530 0.8342
```

Values from the calculation:
Fermi-level density of states (states/eV/f.u.): 4.07
E_form (uncorrected) (eV/atom): -1.144
DFT total energy (eV per formula unit): -40.22
Symmetry: P4/mmm, No. 123



Below is an optimized crystal structure of DyZrTcIr, with properties calculated at the PBE level.

extended XYZ file:
```
4
Lattice="-4.3130 -0.5308 -1.8890 -2.9082 -3.3614 1.6418 -3.8439 1.2046 2.4952" Properties=species:S:1:pos:R:3 pbc="T T T"
Ir 0.0000 0.0000 0.0000
Tc -5.5326 -1.3438 1.1240
Zr -2.7663 -0.6719 0.5620
Dy -8.2988 -2.0158 1.6860
```

Values from the calculation:
Fermi-level density of states (states/eV/f.u.): 2.87
DFT total energy (eV per formula unit): -34.42
Symmetry: F-43m, No. 216



Below is an optimized crystal structure of Hf2TlVH, with properties calculated at the PBE level.

extended XYZ file:
```
5
Lattice="-3.1901 -3.0118 1.0806 1.8717 -0.5188 4.0796 -2.2692 2.9098 1.4111" Properties=species:S:1:pos:R:3 pbc="T T T"
H 0.0000 0.0000 0.0000
Tl -1.7938 -0.3104 3.2857
Hf 0.9358 -0.2594 2.0398
Hf -1.5951 -1.5059 0.5403
V -1.1346 1.4549 0.7056
```

Values from the calculation:
Fermi-level density of states (states/eV/f.u.): 3.03
DFT total energy (eV per formula unit): -34.75
Symmetry: P4/mmm, No. 123



Below is an optimized crystal structure of YAgC, with properties calculated at the PBE level.

extended XYZ file:
```
6
Lattice="8.2417 0.0001 0.0000 -0.0001 3.5619 0.0000 0.0000 0.0000 3.5617" Properties=species:S:1:pos:R:3 pbc="T T T"
Y 7.4632 0.2741 2.3746
Y 4.9358 2.0549 0.5937
C 5.0227 0.2739 2.3746
C 7.3764 2.0551 0.5937
Ag 2.8051 0.2744 2.3744
Ag 1.3525 2.0553 0.5935
```

Values from the calculation:
Fermi-level density of states (states/eV/f.u.): 2.04
DFT total energy (eV per formula unit): -18.34
Symmetry: P4/nmm, No. 129



Below is an optimized crystal structure of LaSi3Tc3, with properties calculated at the PBE level.

extended XYZ file:
```
14
Lattice="-1.7978 -5.5894 -3.0285 4.1821 1.3305 -4.9381 4.7878 -3.2610 3.1762" Properties=species:S:1:pos:R:3 pbc="T T T"
Si 1.9445 -3.0278 0.8310
Si 3.2880 -0.1500 -1.6750
Si 2.2377 -1.7968 -5.2179
Si 1.0455 -5.8225 -0.6833
Si 5.6819 -1.7805 -0.0869
Si 0.1466 -2.4621 -2.7488
Tc 3.4394 -1.2979 0.3536
Tc 5.5305 -0.6326 -2.1155
Tc 2.6920 -5.2404 0.8679
Tc 0.7427 -3.5268 -4.7405
Tc 0.2980 -3.6099 -0.7202
Tc 1.6416 -0.7321 -3.2262
La 3.5861 -3.7599 -2.3952
La 0.0000 0.0000 0.0000
```

Values from the calculation:
Fermi-level density of states (states/eV/f.u.): 7.48
E_form (uncorrected) (eV/atom): 0.024
DFT total energy (eV per formula unit): -52.13
Symmetry: Pm-3n, No. 223



Below is an optimized crystal structure of BH2I, with properties calculated at the PBE level.

extended XYZ file:
```
8
Lattice="3.0249 -0.0788 -0.0249 0.1686 7.0961 -0.7094 0.0634 3.1237 7.3789" Properties=species:S:1:pos:R:3 pbc="T T T"
B 0.7269 3.7132 5.5410
B 2.1852 2.8521 5.7703
H 2.9534 2.9690 4.7001
H 2.9852 3.5145 6.5872
H 0.6958 4.8675 5.2069
H 2.3832 8.7937 5.3958
I 1.5217 7.0522 1.7485
I 1.4248 3.4537 1.4770
```

Values from the calculation:
Fermi-level density of states (states/eV/f.u.): 0.91
DFT total energy (eV per formula unit): -14.83
Symmetry: P1, No. 1